[1]
Computed, not measured: LiMg14AlO16 at its PBEsol-relaxed geometry at the SCAN level of DFT.

Calculated values
The offset from the most stable computed form comes out at 0 meV/atom. The magnetization comes out at 0.000 μB per atom. As for the symmetry: Pmmm (47). The energy relative to the elements, uncorrected comes out at -2996 meV per atom. Its density of states at the Fermi level is 0.00 states/eV/f.u.

a = 4.1802 Å, b = 8.3691 Å, c = 8.4071 Å
α = 90.00°, β = 90.00°, γ = 90.00°
Element x y z (fractional)
Mg  0.5000  0.0000  0.2572
O  0.5000  0.5000  0.0000
Mg  0.5000  0.7502  0.0000
Mg  0.0000  0.5000  0.5000
O  0.0000  0.2350  0.0000
Mg  0.5000  0.5000  0.7477
O  0.0000  0.5000  0.7548
O  0.0000  0.7650  0.0000
O  0.5000  0.5000  0.5000
O  0.0000  0.5000  0.2452
Li  0.0000  0.0000  0.5000
O  0.5000  0.7506  0.2483
O  0.5000  0.2494  0.2483
O  0.5000  0.0000  0.5000
Mg  0.0000  0.2476  0.2554
O  0.5000  0.2494  0.7517
Mg  0.5000  0.2498  0.0000
O  0.0000  0.7468  0.5000
Mg  0.5000  0.0000  0.7428
Mg  0.0000  0.5000  0.0000
Mg  0.5000  0.7555  0.5000
Mg  0.0000  0.7524  0.7446
Mg  0.5000  0.2445  0.5000
O  0.0000  0.2532  0.5000
Mg  0.0000  0.7524  0.2554
Al  0.0000  0.0000  0.0000
O  0.0000  0.0000  0.2230
O  0.0000  0.0000  0.7770
Mg  0.5000  0.5000  0.2523
Mg  0.0000  0.2476  0.7446
O  0.5000  0.0000  0.0000
O  0.5000  0.7506  0.7517

[2]
Computed, not measured: CsAl2Pb2 at its PBEsol-relaxed geometry at the SCAN level of DFT.

Calculated values
The magnetization comes out at 0.000 μB per atom. The energy of formation from the pure elements is -0.1464 eV/atom. As for the symmetry: I4/mmm (139). Its density of states at the Fermi level is 1.35 states/eV/f.u.

a = 4.1910 Å, b = 4.1910 Å, c = 9.4206 Å
α = 102.85°, β = 102.85°, γ = 90.00°
Element x y z (fractional)
Pb  0.3598  0.3598  0.7196
Pb  0.6402  0.6402  0.2804
Al  0.2500  0.7500  0.5000
Cs  0.0000  0.0000  0.0000
Al  0.7500  0.2500  0.5000

[3]
Computed, not measured: CaSn2Pd at its PBEsol-relaxed geometry at the SCAN level of DFT.

Calculated values
The magnetization comes out at 0.000 μB per atom. The energy of formation from the pure elements is -0.7276 eV/atom. As for the symmetry: Cmcm (63). Its density of states at the Fermi level is 1.39 states/eV/f.u.

a = 4.4092 Å, b = 5.9559 Å, c = 7.3752 Å
α = 90.00°, β = 90.00°, γ = 111.72°
Element x y z (fractional)
Ca  0.9293  0.8585  0.2500
Sn  0.6407  0.2815  0.4557
Sn  0.3593  0.7185  0.9557
Ca  0.0707  0.1415  0.7500
Pd  0.7974  0.5949  0.7500
Sn  0.3593  0.7185  0.5443
Sn  0.6407  0.2815  0.0443
Pd  0.2026  0.4051  0.2500

[4]
Computed, not measured: BaZrSb2 at its PBEsol-relaxed geometry at the SCAN level of DFT.

Calculated values
The offset from the most stable computed form comes out at 649 meV/atom. The magnetization comes out at 0.000 μB per atom. As for the symmetry: I-4m2 (119). The energy relative to the elements, uncorrected comes out at -246 meV per atom. Its density of states at the Fermi level is 2.57 states/eV/f.u.

a = 4.5659 Å, b = 4.5659 Å, c = 6.2623 Å
α = 111.38°, β = 111.38°, γ = 90.00°
Element x y z (fractional)
Ba  0.2500  0.7500  0.5000
Zr  0.5000  0.5000  0.0000
Sb  0.7500  0.2500  0.5000
Sb  0.0000  0.0000  0.0000

[5]
Computed, not measured: BaHfAs2Ru at its PBEsol-relaxed geometry at the SCAN level of DFT.

Calculated values
The magnetization comes out at 0.615 μB per atom. The energy of formation from the pure elements is 0.8807 eV/atom. As for the symmetry: P4/mmm (123). Its density of states at the Fermi level is 3.22 states/eV/f.u.

a = 5.0218 Å, b = 5.0218 Å, c = 5.9113 Å
α = 90.00°, β = 90.00°, γ = 90.00°
Site moments in Bohr magnetons follow the coordinates.
Element x y z (fractional)
As  0.5000  0.0000  0.0000  -0.02
As  0.0000  0.5000  0.0000  -0.02
Hf  0.0000  0.0000  0.0000  0.04
Ru  0.5000  0.5000  0.5000  2.68
Ba  0.0000  0.0000  0.5000  0.00

[6]
Computed, not measured: TcIrRh2 at its PBEsol-relaxed geometry at the SCAN level of DFT.

Calculated values
The offset from the most stable computed form comes out at 51 meV/atom. The magnetization comes out at 0.000 μB per atom. The energy of formation from the pure elements is -0.0856 eV/atom. As for the symmetry: Pmmm (47). Its density of states at the Fermi level is 3.41 states/eV/f.u.

a = 2.6687 Å, b = 3.8239 Å, c = 5.3572 Å
α = 90.00°, β = 90.00°, γ = 90.00°
Element x y z (fractional)
Rh  0.0000  0.0000  0.7532
Rh  0.0000  0.0000  0.2468
Ir  0.5000  0.5000  0.5000
Tc  0.5000  0.5000  0.0000

Repeat the sixth record exactly.
Computed, not measured: TcIrRh2 at its PBEsol-relaxed geometry at the SCAN level of DFT.

Calculated values
The offset from the most stable computed form comes out at 51 meV/atom. The magnetization comes out at 0.000 μB per atom. The energy of formation from the pure elements is -0.0856 eV/atom. As for the symmetry: Pmmm (47). Its density of states at the Fermi level is 3.41 states/eV/f.u.

a = 2.6687 Å, b = 3.8239 Å, c = 5.3572 Å
α = 90.00°, β = 90.00°, γ = 90.00°
Element x y z (fractional)
Rh  0.0000  0.0000  0.7532
Rh  0.0000  0.0000  0.2468
Ir  0.5000  0.5000  0.5000
Tc  0.5000  0.5000  0.0000